Compound: Sr3CoF7
Source: Alexandria
Functional: PBE+U
Structure: optimized geometry

Cell and atoms, written as POSCAR:
```
Sr3CoF7
1.0
-4.306 -5.348 -0.116
6.421 -2.221 1.000
-1.011 0.642 7.914
F Sr Co
14 6 2
Cartesian
1.489 -1.345 4.042
1.918 -1.618 0.682
2.385 -4.775 5.045
-0.851 -2.425 0.393
4.308 -2.399 6.816
1.009 -4.356 2.506
-0.814 -5.310 8.117
-3.573 -4.697 5.996
0.095 -2.572 6.292
1.956 -4.502 8.405
4.677 -2.231 2.802
-3.204 -4.528 1.982
-1.281 -2.153 3.753
-0.385 -5.582 4.757
0.000 0.000 0.000
-2.387 -2.568 5.975
3.491 -4.359 2.823
-1.097 -5.697 2.346
2.201 -1.230 6.452
-0.505 0.321 3.957
1.057 -3.785 0.442
0.552 -3.464 4.399
```

Values from the calculation:
Space group: Cmcm (63)
Energy in Ha/atom: -0.1992